# 1
Below is crystalline NaBiH4 at its relaxed geometry, with properties calculated at the PBE level.

Results
Raw total energy, eV per atom: -3.1747

abc: 10.7696 9.9095 12.1960
angles: 146.68 129.50 81.83
Fractional positions:
H  0.1289  0.2758  0.8444
Na  0.8820  0.0502  0.1930
H  0.3399  0.5508  0.1727
H  0.6601  0.4492  0.8273
Na  0.1180  0.9498  0.8070
H  0.3837  0.0374  0.6484
H  0.6163  0.9626  0.3516
H  0.4434  0.2009  0.7448
Bi  0.1557  0.4668  0.3627
H  0.8711  0.7242  0.1556
Bi  0.8443  0.5332  0.6373
H  0.5565  0.7991  0.2551


# 2
Below is crystalline Tb12Er7Th at its relaxed geometry, with properties calculated at the PBE level.

Results
Energy relative to the elements, eV/atom: 0.752
Raw total energy, eV per atom: -3.9946

abc: 9.7726 9.7726 9.7726
angles: 109.47 109.47 109.47
Fractional positions:
Tb  0.7543  0.0006  0.2463
Er  0.0000  0.5000  0.0000
Tb  0.7537  0.2457  0.9994
Er  0.0000  0.0000  0.5000
Tb  0.2457  0.4920  0.2463
Er  0.5000  0.0000  0.5000
Tb  0.7537  0.7543  0.5080
Er  0.5000  0.0000  0.0000
Tb  0.9994  0.7537  0.2457
Er  0.5000  0.5000  0.5000
Tb  0.4920  0.2463  0.2457
Tb  0.5080  0.7537  0.7543
Tb  0.2463  0.7543  0.0006
Th  0.0000  0.0000  0.0000
Tb  0.7543  0.5080  0.7537
Er  0.0000  0.5000  0.5000
Tb  0.2463  0.2457  0.4920
Er  0.5000  0.5000  0.0000
Tb  0.2457  0.9994  0.7537
Tb  0.0006  0.2463  0.7543


# 3
Below is crystalline Ce5Si3Tc at its relaxed geometry, with properties calculated at the PBE level.

Results
Raw total energy, eV per atom: -6.4085

abc: 8.3397 8.3397 7.8709
angles: 68.06 68.06 73.79
Fractional positions:
Ce  0.7214  0.2786  0.0000
Si  0.0000  0.0000  0.5000
Tc  0.0992  0.0992  0.6747
Si  0.6981  0.6981  0.4649
Si  0.3019  0.3019  0.5351
Si  0.3464  0.3464  0.1868
Si  0.0000  0.0000  0.0000
Ce  0.6118  0.0396  0.6226
Si  0.6536  0.6536  0.8132
Ce  0.5509  0.5509  0.2641
Ce  0.2786  0.7214  0.0000
Tc  0.9008  0.9008  0.3253
Ce  0.7771  0.7771  0.0284
Ce  0.2229  0.2229  0.9716
Ce  0.3882  0.9604  0.3774
Ce  0.9604  0.3882  0.3774
Ce  0.0396  0.6118  0.6226
Ce  0.4491  0.4491  0.7359


# 4
Below is crystalline Ca3Cd4Ga2 at its relaxed geometry, with properties calculated at the PBE level.

Results
Energy relative to the elements, eV/atom: -0.378
Raw total energy, eV per atom: -2.1246

abc: 4.8367 6.0695 9.1722
angles: 113.75 90.00 113.48
Fractional positions:
Ga  0.6097  0.2194  0.2764
Ca  0.3358  0.6715  0.3339
Ca  0.6642  0.3285  0.6661
Cd  0.2897  0.5794  0.9492
Cd  0.9342  0.8684  0.6063
Ca  0.0000  0.0000  0.0000
Cd  0.7103  0.4206  0.0508
Ga  0.3903  0.7806  0.7236
Cd  0.0658  0.1316  0.3937